1.
Density functional theory data (GGA-PBE) for a geometry-optimized CsTmSO structure.

Structure (POSCAR):
```
CsTmSO
1.0
3.722 0.000 0.000
-1.861 3.223 0.000
0.000 0.000 14.938
Cs Tm S O
2 2 2 2
Direct
0.333 0.667 0.222
0.667 0.333 0.778
0.000 0.000 0.000
0.000 0.000 0.500
0.333 0.667 0.604
0.667 0.333 0.396
0.333 0.667 0.931
0.667 0.333 0.069
```

Computed properties:
crystal system = trigonal

---

2.
Density functional theory data (GGA-PBE) for a geometry-optimized Cs2Tm2S3O structure.

Structure (POSCAR):
```
Cs2Tm2S3O
1.0
3.873 0.000 0.000
-1.936 3.354 0.000
0.000 0.000 15.558
Cs Tm S O
2 2 3 1
Direct
0.000 0.000 0.000
0.333 0.667 0.474
0.667 0.333 0.261
0.667 0.333 0.735
0.000 0.000 0.637
0.333 0.667 0.162
0.333 0.667 0.831
0.000 0.000 0.323
```

Computed properties:
crystal system = trigonal

---

3.
Density functional theory data (GGA-PBE) for a geometry-optimized CsTmSO structure.

Structure (POSCAR):
```
CsTmSO
1.0
8.181 0.000 0.000
0.000 7.222 0.000
-1.607 0.000 6.428
Cs Tm S O
4 4 4 4
Direct
0.080 0.242 0.003
0.080 0.258 0.503
0.920 0.742 0.497
0.920 0.758 0.997
0.483 0.627 0.279
0.483 0.873 0.779
0.517 0.127 0.221
0.517 0.373 0.721
0.279 0.598 0.859
0.279 0.902 0.359
0.721 0.098 0.641
0.721 0.402 0.141
0.403 0.143 0.879
0.403 0.357 0.379
0.597 0.643 0.621
0.597 0.857 0.121
```

Computed properties:
crystal system = monoclinic

---

4.
Density functional theory data (GGA-PBE) for a geometry-optimized CsScZnO3 structure.

Structure (POSCAR):
```
CsScZnO3
1.0
1.692 -6.680 0.000
1.692 6.680 0.000
0.000 0.000 8.624
Cs Sc Zn O
2 2 2 6
Direct
0.219 0.781 0.750
0.781 0.219 0.250
0.500 0.500 0.000
0.500 0.500 0.500
0.057 0.943 0.250
0.943 0.057 0.750
0.100 0.900 0.039
0.100 0.900 0.461
0.471 0.529 0.250
0.529 0.471 0.750
0.900 0.100 0.539
0.900 0.100 0.961
```

Computed properties:
crystal system = orthorhombic

---

5.
Density functional theory data (GGA-PBE) for a geometry-optimized CsSmSeO structure.

Structure (POSCAR):
```
CsSmSeO
1.0
2.967 -2.966 0.000
2.967 2.966 0.000
-2.755 0.000 12.962
Cs Sm Se O
2 2 2 2
Direct
0.179 0.179 0.380
0.821 0.821 0.620
0.533 0.043 0.082
0.957 0.467 0.918
0.380 0.381 0.748
0.619 0.620 0.252
0.495 0.505 0.000
0.995 0.005 0.000
```

Computed properties:
crystal system = monoclinic

---

6.
Density functional theory data (GGA-PBE) for a geometry-optimized CsSmSe2O8 structure.

Structure (POSCAR):
```
CsSmSe2O8
1.0
5.770 0.000 0.000
-2.885 4.997 0.000
0.000 0.000 8.044
Cs Sm Se O
1 1 2 8
Direct
0.000 0.000 0.000
0.000 0.000 0.500
0.333 0.667 0.249
0.667 0.333 0.751
0.178 0.356 0.324
0.178 0.822 0.324
0.333 0.667 0.045
0.356 0.178 0.676
0.644 0.822 0.324
0.667 0.333 0.955
0.822 0.178 0.676
0.822 0.644 0.676
```

Computed properties:
crystal system = trigonal

---

7.
Density functional theory data (GGA-PBE) for a geometry-optimized CsSmSeO structure.

Structure (POSCAR):
```
CsSmSeO
1.0
8.499 0.000 0.000
0.000 7.639 0.000
-1.254 0.000 6.768
Cs Sm Se O
4 4 4 4
Direct
0.089 0.216 0.481
0.089 0.284 0.981
0.911 0.716 0.019
0.911 0.784 0.519
0.478 0.629 0.781
0.478 0.871 0.281
0.522 0.129 0.719
0.522 0.371 0.219
0.261 0.592 0.371
0.261 0.908 0.871
0.739 0.092 0.129
0.739 0.408 0.629
0.415 0.147 0.387
0.415 0.353 0.887
0.585 0.647 0.113
0.585 0.853 0.613
```

Computed properties:
crystal system = monoclinic

---

8.
Density functional theory data (GGA-PBE) for a geometry-optimized CsSmSeO structure.

Structure (POSCAR):
```
CsSmSeO
1.0
4.685 0.000 0.000
0.000 8.824 0.000
0.000 0.000 7.047
Cs Sm Se O
2 2 2 2
Direct
0.000 0.196 0.000
0.000 0.804 0.500
0.500 0.384 0.434
0.500 0.616 0.934
0.000 0.211 0.506
0.000 0.789 0.006
0.500 0.427 0.129
0.500 0.573 0.629
```

Computed properties:
crystal system = orthorhombic

---

9.
Density functional theory data (GGA-PBE) for a geometry-optimized CsSmSeO structure.

Structure (POSCAR):
```
CsSmSeO
1.0
4.506 0.000 0.000
0.000 4.506 0.000
0.000 0.000 10.164
Cs Sm Se O
2 2 2 2
Direct
0.250 0.750 0.000
0.750 0.250 0.000
0.250 0.250 0.421
0.750 0.750 0.579
0.250 0.250 0.751
0.750 0.750 0.249
0.250 0.750 0.500
0.750 0.250 0.500
```

Computed properties:
crystal system = tetragonal

---

10.
Density functional theory data (GGA-PBE) for a geometry-optimized CsTa3Se2O12 structure.

Structure (POSCAR):
```
CsTa3Se2O12
1.0
5.548 0.000 0.000
-2.774 4.804 0.000
0.000 0.000 10.340
Cs Ta Se O
1 3 2 12
Direct
0.000 0.000 0.000
0.000 0.000 0.500
0.333 0.667 0.708
0.667 0.333 0.292
0.333 0.667 0.241
0.667 0.333 0.759
0.012 0.506 0.163
0.166 0.331 0.613
0.166 0.834 0.613
0.331 0.166 0.387
0.494 0.506 0.163
0.494 0.988 0.163
0.506 0.012 0.837
0.506 0.494 0.837
0.669 0.834 0.613
0.834 0.166 0.387
0.834 0.669 0.387
0.988 0.494 0.837
```

Computed properties:
crystal system = trigonal

---

11.
Density functional theory data (GGA-PBE) for a geometry-optimized CsTbSeO structure.

Structure (POSCAR):
```
CsTbSeO
1.0
4.584 0.000 0.000
0.000 8.809 0.000
0.000 0.000 6.981
Cs Tb Se O
2 2 2 2
Direct
0.000 0.196 0.000
0.000 0.804 0.500
0.500 0.387 0.436
0.500 0.613 0.936
0.000 0.212 0.505
0.000 0.788 0.005
0.500 0.432 0.136
0.500 0.568 0.636
```

Computed properties:
crystal system = orthorhombic

---

12.
Density functional theory data (GGA-PBE) for a geometry-optimized CsTbSeO structure.

Structure (POSCAR):
```
CsTbSeO
1.0
4.513 0.000 0.000
0.000 4.513 0.000
0.000 0.000 9.998
Cs Tb Se O
2 2 2 2
Direct
0.250 0.750 0.000
0.750 0.250 0.000
0.250 0.250 0.434
0.750 0.750 0.566
0.250 0.250 0.747
0.750 0.750 0.253
0.250 0.750 0.500
0.750 0.250 0.500
```

Computed properties:
crystal system = tetragonal

---

Number 1: raw total energy -5.74 eV per atom. Number 2: raw total energy -5.46 eV per atom. Number 3: raw total energy -5.84 eV per atom. Number 4: raw total energy -6.08 eV per atom. Number 5: raw total energy -5.68 eV per atom. Number 6: raw total energy -5.87 eV per atom. Number 7: raw total energy -5.66 eV per atom. Number 8: raw total energy -5.60 eV per atom. Number 9: raw total energy -5.31 eV per atom. Number 10: raw total energy -7.85 eV per atom. Number 11: raw total energy -5.62 eV per atom. Number 12: raw total energy -5.28 eV per atom.